1.
HfCuRhI2: relaxed, PBE.

The space group is P4/mmm (No. 123) and the conventional cell measures 5.215, 5.215 and 4.680 Å, with angles of 90.00, 90.00 and 90.00 degrees. Symmetry generates all atoms from Hf at (0.000, 0.000, 0.000), Cu at (0.500, 0.500, 0.000), Rh at (0.500, 0.500, 0.500) and I at (0.000, 0.500, 0.500).

For the formation energy from raw total energies, the calculation gives 0.827 eV per atom. The density of states at the Fermi level comes out at 0.7582 states/eV/atom. For the total DFT energy (no corrections), the calculation gives -4.073 eV per atom.


2.
Ta3Mo2Pd: relaxed, PBE.

The space group is P4/mmm (No. 123) and the conventional cell measures 3.263, 3.263 and 9.543 Å, with angles of 90.00, 90.00 and 90.00 degrees. Symmetry generates all atoms from Ta at (0.000, 0.000, 0.000), Ta at (0.000, 0.000, 0.325), Mo at (0.500, 0.500, 0.171) and Pd at (0.500, 0.500, 0.500).

The density of states at the Fermi level comes out at 0.7403 states/eV/atom. As for the formation energy: -0.2004 eV/atom. For the total DFT energy (no corrections), the calculation gives -10.603 eV per atom.


3.
Ca2PrAu: relaxed, PBE.

The space group is R3m (No. 160, hexagonal axes) and the conventional cell measures 3.8721, 3.8721 and 31.0467 Å, with angles of 90.00, 90.00 and 120.00 degrees. Symmetry generates all atoms from Ca at (0.0000, 0.0000, 0.0000), Ca at (0.0000, 0.0000, 0.2053), Pr at (0.0000, 0.0000, 0.7687) and Au at (0.0000, 0.0000, 0.6028).

The density of states at the Fermi level comes out at 1.1252 states/eV/atom. As for the formation energy: -0.2927 eV/atom. For the total DFT energy (no corrections), the calculation gives -3.308 eV per atom.


4.
Ba4LiPm3O8: relaxed, PBE.

The space group is R-3m (No. 166, hexagonal axes) and the conventional cell measures 7.2992, 7.2992 and 18.7276 Å, with angles of 90.00, 90.00 and 120.00 degrees. Symmetry generates all atoms from Ba at (0.0000, 0.0000, 0.0000), Ba at (0.0000, 0.5000, 0.0000), Li at (0.0000, 0.0000, 0.5000), Pm at (0.0000, 0.5000, 0.5000), O at (0.0000, 0.0000, 0.2341) and O at (0.0144, 0.5072, 0.7644).

For the formation energy from raw total energies, the calculation gives -2.577 eV per atom. The density of states at the Fermi level comes out at 0.3232 states/eV/atom. For the total DFT energy (no corrections), the calculation gives -6.547 eV per atom.